# 1
Compound: LiTiTc3
Source: the Alexandria database
Functional: GGA-PBE
Structure: relaxed

extended XYZ file:
```
5
Lattice="4.160 0.000 0.000 0.000 4.160 0.000 0.000 0.000 4.160" Properties=species:S:1:pos:R:3 pbc="T T T"
Li 0.000 0.000 0.000
Ti 2.080 2.080 2.080
Tc 0.000 0.000 2.080
Tc 0.000 2.080 0.000
Tc 2.080 0.000 0.000
```

Values from the calculation:
Its crystal system is cubic. Its formation energy is 21.38 kcal/mol of atoms. Its total magnetization is 0.0000 μB per atom. The calculation puts the calculated volume at 14.40 Å³ per atom. As for the total energy: -7.2540 eV per atom.



# 2
Compound: La12Tb3Sm
Source: the Alexandria database
Functional: GGA-PBE
Structure: relaxed

extended XYZ file:
```
16
Lattice="5.219 0.000 0.000 0.000 5.219 0.000 0.000 0.000 20.858" Properties=species:S:1:pos:R:3 pbc="T T T"
La 0.000 0.000 0.000
La 0.000 0.000 5.210
La 0.000 0.000 10.429
La 0.000 0.000 15.649
La 0.000 2.610 2.604
La 0.000 2.610 7.809
La 0.000 2.610 13.049
La 0.000 2.610 18.254
La 2.610 0.000 2.604
La 2.610 0.000 7.809
La 2.610 0.000 13.049
La 2.610 0.000 18.254
Tb 2.610 2.610 0.000
Tb 2.610 2.610 5.206
Tb 2.610 2.610 15.652
Sm 2.610 2.610 10.429
```

Values from the calculation:
Its crystal system is tetragonal. Its formation energy is 0.19 kcal/mol of atoms. Its total magnetization is 0.0000 μB per atom. The calculation puts the calculated volume at 35.51 Å³ per atom. As for the total energy: -4.8507 eV per atom.



# 3
Compound: Tb8Pr5Y
Source: the Alexandria database
Functional: GGA-PBE
Structure: relaxed

extended XYZ file:
```
14
Lattice="8.770 -1.789 0.000 8.770 1.789 0.000 -8.070 0.000 15.016" Properties=species:S:1:pos:R:3 pbc="T T T"
Tb -0.425 0.000 3.312
Tb -5.021 0.000 14.125
Tb -1.416 0.000 9.705
Tb 5.114 0.000 4.149
Tb 4.356 0.000 10.868
Tb 10.886 0.000 5.311
Tb 14.491 0.000 0.891
Tb 9.894 0.000 11.704
Pr -4.035 0.000 7.508
Pr -1.887 0.000 12.858
Pr 1.717 0.000 8.415
Pr 7.753 0.000 6.601
Pr 11.357 0.000 2.158
Y 8.770 0.000 0.000
```

Values from the calculation:
Its crystal system is monoclinic. Its formation energy is 1.11 kcal/mol of atoms. Its total magnetization is 0.0000 μB per atom. The calculation puts the calculated volume at 33.65 Å³ per atom. As for the total energy: -4.7663 eV per atom.



# 4
Compound: La4PtNCl2
Source: the Alexandria database
Functional: GGA-PBE
Structure: relaxed

extended XYZ file:
```
8
Lattice="7.194 0.000 0.000 0.000 3.897 0.000 -2.433 0.000 7.275" Properties=species:S:1:pos:R:3 pbc="T T T"
La 0.955 0.000 1.462
La -0.212 1.949 5.739
La 4.972 1.949 1.536
La 3.805 0.000 5.813
Pt 3.597 0.000 0.000
N 0.000 1.949 0.000
Cl -1.217 0.000 3.638
Cl 2.380 1.949 3.638
```

Values from the calculation:
Its crystal system is monoclinic. Its total magnetization is 0.0000 μB per atom. The uncorrected formation energy is -1430 meV/atom. The calculation puts the calculated volume at 25.49 Å³ per atom. As for the total energy: -6.1513 eV per atom.



# 5
Compound: Ba6Sn2ClO
Source: the Alexandria database
Functional: GGA-PBE
Structure: relaxed

extended XYZ file:
```
20
Lattice="8.104 0.000 0.000 0.000 11.454 0.000 0.000 0.000 8.105" Properties=species:S:1:pos:R:3 pbc="T T T"
Ba 0.116 2.863 0.112
Ba 0.113 2.863 3.934
Ba 2.026 0.164 2.027
Ba 2.026 5.563 2.027
Ba 3.936 2.863 0.112
Ba 3.939 2.863 3.934
Ba 4.165 8.590 4.172
Ba 4.167 8.590 7.994
Ba 6.078 5.891 6.078
Ba 6.078 11.290 6.078
Ba 7.991 8.590 4.172
Ba 7.988 8.590 7.994
Sn 2.026 11.452 6.078
Sn 2.026 5.729 6.078
Sn 6.078 0.002 2.027
Sn 6.078 5.725 2.027
Cl 2.026 8.590 2.029
Cl 6.078 2.863 6.077
O 2.026 2.863 2.024
O 6.078 8.590 6.082
```

Values from the calculation:
Its crystal system is orthorhombic. Its total magnetization is 0.0000 μB per atom. The uncorrected formation energy is -1154 meV/atom. The calculation puts the calculated volume at 37.62 Å³ per atom. As for the total energy: -3.7890 eV per atom.



# 6
Compound: Cs2CaErBr6
Source: the Alexandria database
Functional: GGA-PBE
Structure: relaxed

extended XYZ file:
```
20
Lattice="8.071 0.000 0.000 0.000 11.423 0.000 0.000 0.000 8.073" Properties=species:S:1:pos:R:3 pbc="T T T"
Cs 2.018 0.001 2.017
Cs 2.018 5.710 2.017
Cs 6.053 11.421 6.056
Cs 6.053 5.712 6.056
Ca 2.018 2.856 6.049
Ca 6.053 8.567 2.024
Er 2.018 8.567 6.060
Er 6.053 2.856 2.013
Br 0.029 8.567 4.070
Br 0.029 8.567 8.050
Br 2.018 5.752 6.054
Br 2.018 11.382 6.054
Br 4.007 8.567 4.070
Br 4.006 8.567 8.050
Br 4.064 2.856 0.023
Br 4.064 2.856 4.003
Br 6.053 0.041 2.020
Br 6.053 5.671 2.020
Br 8.042 2.856 0.023
Br 8.042 2.856 4.003
```

Values from the calculation:
Its crystal system is orthorhombic. Its total magnetization is 0.0652 μB per atom. The uncorrected formation energy is -1757 meV/atom. The calculation puts the calculated volume at 37.21 Å³ per atom. As for the total energy: -3.5881 eV per atom.



# 7
Compound: MnNb2Zn
Source: the Alexandria database
Functional: GGA-PBE
Structure: relaxed

extended XYZ file:
```
4
Lattice="1.500 0.866 8.339 -1.500 0.866 8.339 0.000 -1.732 8.339" Properties=species:S:1:pos:R:3 pbc="T T T"
Mn 0.000 0.000 0.000
Nb 0.000 0.000 6.479
Nb 0.000 0.000 18.539
Zn 0.000 0.000 12.509
```

Values from the calculation:
Its crystal system is trigonal. Its formation energy is 5.27 kcal/mol of atoms. Its total magnetization is 0.0000 μB per atom. The calculation puts the calculated volume at 16.26 Å³ per atom. As for the total energy: -7.4171 eV per atom.



# 8
Compound: CaTcP2
Source: the Alexandria database
Functional: GGA-PBE
Structure: relaxed

extended XYZ file:
```
4
Lattice="1.850 1.068 6.177 -1.850 1.068 6.177 0.000 -2.136 6.177" Properties=species:S:1:pos:R:3 pbc="T T T"
Ca 0.000 0.000 0.000
Tc 0.000 0.000 9.266
P 0.000 0.000 4.294
P 0.000 0.000 14.237
```

Values from the calculation:
Its crystal system is trigonal. Its formation energy is -13.05 kcal/mol of atoms. Its total magnetization is 0.0000 μB per atom. The calculation puts the calculated volume at 18.31 Å³ per atom. As for the total energy: -6.3625 eV per atom.



# 9
Compound: ZrRhBr2
Source: the Alexandria database
Functional: GGA-PBE
Structure: relaxed

extended XYZ file:
```
4
Lattice="0.000 3.425 3.425 3.425 0.000 3.425 3.425 3.425 0.000" Properties=species:S:1:pos:R:3 pbc="T T T"
Zr 0.000 0.000 0.000
Rh 5.137 5.137 5.137
Br 1.712 1.712 1.712
Br 3.425 3.425 3.425
```

Values from the calculation:
Its crystal system is cubic. Its total magnetization is 0.0000 μB per atom. The uncorrected formation energy is -19 meV/atom. The calculation puts the calculated volume at 20.09 Å³ per atom. As for the total energy: -4.8307 eV per atom.



# 10
Compound: ErBeCd
Source: the Alexandria database
Functional: GGA-PBE
Structure: relaxed

extended XYZ file:
```
6
Lattice="2.497 -4.050 0.000 2.497 4.050 0.000 0.000 0.000 5.880" Properties=species:S:1:pos:R:3 pbc="T T T"
Er 2.497 2.775 4.410
Er 2.497 -2.775 1.470
Be 2.497 2.534 1.470
Be 2.497 -2.534 4.410
Cd 2.497 0.000 0.000
Cd 2.497 0.000 2.940
```

Values from the calculation:
Its crystal system is orthorhombic. Its formation energy is 0.60 kcal/mol of atoms. Its total magnetization is 0.0000 μB per atom. The calculation puts the calculated volume at 19.82 Å³ per atom. As for the total energy: -3.0421 eV per atom.



# 11
Compound: VAsCSe2
Source: the Alexandria database
Functional: GGA-PBE
Structure: relaxed

extended XYZ file:
```
5
Lattice="4.312 0.000 0.000 0.000 4.312 0.000 0.000 0.000 4.284" Properties=species:S:1:pos:R:3 pbc="T T T"
V 0.000 0.000 0.000
As 2.156 2.156 0.000
C 2.156 2.156 2.142
Se 0.000 2.156 2.142
Se 2.156 0.000 2.142
```

Values from the calculation:
Its crystal system is tetragonal. Its total magnetization is 0.0002 μB per atom. The uncorrected formation energy is 1164 meV/atom. The calculation puts the calculated volume at 15.93 Å³ per atom. As for the total energy: -4.8287 eV per atom.



# 12
Compound: Li2YAgI
Source: the Alexandria database
Functional: GGA-PBE
Structure: relaxed

extended XYZ file:
```
5
Lattice="4.891 0.000 0.000 0.000 4.891 0.000 0.000 0.000 5.912" Properties=species:S:1:pos:R:3 pbc="T T T"
Li 0.000 2.446 0.000
Li 2.446 0.000 0.000
Y 0.000 0.000 2.956
Ag 2.446 2.446 2.956
I 0.000 0.000 0.000
```

Values from the calculation:
Its crystal system is tetragonal. Its total magnetization is 0.0000 μB per atom. The uncorrected formation energy is 35 meV/atom. The calculation puts the calculated volume at 28.29 Å³ per atom. As for the total energy: -2.9033 eV per atom.